Record 1
Material: Y3Be
Method: DFT, PBE
State: optimized geometry

Properties
spin magnetization: 0.2 μB/cell
relative energy among the computed polymorphs: 1.8 kJ per mole of atoms
space group: Pnma, No. 62
ΔH_f (0 K): 0.083 eV per atom

a b c (Å): 6.827 9.712 6.469
angles (deg): 90.00 90.00 90.00
Sites, in units of the cell vectors:
Y 0.017 0.250 0.130
Y 0.187 0.057 0.685
Y 0.187 0.443 0.685
Y 0.313 0.557 0.185
Y 0.313 0.943 0.185
Y 0.483 0.750 0.630
Y 0.517 0.250 0.370
Y 0.687 0.057 0.815
Y 0.687 0.443 0.815
Y 0.813 0.557 0.315
Y 0.813 0.943 0.315
Y 0.983 0.750 0.870
Be 0.093 0.750 0.450
Be 0.407 0.250 0.950
Be 0.593 0.750 0.050
Be 0.907 0.250 0.550

Record 2
Material: LaHBrCl
Method: DFT, PBE
State: optimized geometry

Properties
spin magnetization: 0.0 μB/cell
space group: R3m, No. 160

a b c (Å): 7.663 7.663 7.663
angles (deg): 30.96 30.96 30.96
Sites, in units of the cell vectors:
La 0.000 0.000 0.000
H 0.665 0.665 0.665
Br 0.243 0.243 0.243
Cl 0.413 0.413 0.413

Number 1: final energy -5.697 eV per atom. Number 2: final energy -4.683 eV per atom.